DFT (GGA-PBE) results for crystalline BaBr3O at its relaxed geometry.

abc: 6.414 6.414 6.414
angles: 90.00 90.00 90.00
Each line ends with the local moment (μB).
Sites, in units of the cell vectors:
Br 0.000 0.000 0.500  0.21
O 0.500 0.500 0.500  1.57
Br 0.500 0.000 0.000  0.27
Ba 0.000 0.000 0.000  -0.01
Br 0.000 0.500 0.000  0.23

Values from the calculation:
Energy relative to the lowest polymorph listed for this composition ... 0.447 eV per atom
VASP energy ... -13.83 eV per formula unit
SG ... Pm-3m (221)
Magnetization ... 3.000 μB per formula unit
Uncorrected formation energy ... -0.386 eV/atom

***

DFT (GGA-PBE) results for crystalline Tc2OsW at its relaxed geometry.

abc: 2.770 3.891 5.552
angles: 90.00 90.00 90.00
Sites, in units of the cell vectors:
Tc 0.500 0.500 0.242
W 0.000 0.000 0.502
Os 0.500 0.500 0.754
Tc 0.000 0.000 0.001

Values from the calculation:
Energy relative to the lowest polymorph listed for this composition ... 0.028 eV per atom
VASP energy ... -44.56 eV per formula unit
SG ... Pmm2 (25)
Magnetization ... 0.000 μB per formula unit

***

DFT (GGA-PBE) results for crystalline AlP2Cl at its relaxed geometry.

abc: 3.793 3.793 8.972
angles: 90.00 90.00 130.09
Sites, in units of the cell vectors:
P 0.500 0.500 0.261
Cl 0.500 0.500 0.666
Al 0.000 0.000 0.474
P 0.000 0.000 0.100

Values from the calculation:
Energy relative to the lowest polymorph listed for this composition ... 0.240 eV per atom
VASP energy ... -16.65 eV per formula unit
SG ... Cmm2 (35)
Magnetization ... 0.000 μB per formula unit
Uncorrected formation energy ... -0.061 eV/atom

***

DFT (GGA-PBE) results for crystalline GdErSc2 at its relaxed geometry.

abc: 3.848 3.848 7.515
angles: 90.00 90.00 90.00
Each line ends with the local moment (μB).
Sites, in units of the cell vectors:
Er 0.500 0.500 0.500  0.18
Sc 0.000 0.000 0.253  0.06
Sc 0.000 0.000 0.747  0.06
Gd 0.500 0.500 0.000  -7.15

Values from the calculation:
Energy relative to the lowest polymorph listed for this composition ... 0.026 eV per atom
VASP energy ... -30.99 eV per formula unit
SG ... P4/mmm (123)
Magnetization ... 6.965 μB per formula unit

***

DFT (GGA-PBE) results for crystalline Li2LaTbTl4 at its relaxed geometry.

abc: 5.263 5.263 9.194
angles: 73.37 73.37 60.00
Sites, in units of the cell vectors:
Tl 0.127 0.127 0.619
La 0.000 0.000 0.000
Tl 0.379 0.379 0.864
Tl 0.873 0.873 0.381
Li 0.752 0.752 0.745
Tl 0.621 0.621 0.136
Tb 0.500 0.500 0.500
Li 0.248 0.248 0.255

Values from the calculation:
VASP energy ... -25.56 eV per formula unit
SG ... R-3m (166)
Magnetization ... 0.000 μB per formula unit

***

DFT (GGA-PBE) results for crystalline V2BiP at its relaxed geometry.

abc: 7.133 7.133 5.783
angles: 51.93 51.93 90.00
Sites, in units of the cell vectors:
Bi 0.000 0.000 0.000
Bi 0.750 0.250 0.500
V 0.875 0.800 0.750
V 0.375 0.450 0.750
P 0.500 0.500 0.000
V 0.550 0.125 0.250
V 0.200 0.625 0.250
P 0.250 0.750 0.500

Values from the calculation:
VASP energy ... -26.79 eV per formula unit
SG ... I-42d (122)
Magnetization ... 0.000 μB per formula unit

***

DFT (GGA-PBE) results for crystalline Rb3Er3SbO8 at its relaxed geometry.

abc: 6.855 6.856 7.730
angles: 116.34 89.99 120.00
Sites, in units of the cell vectors:
Sb 0.000 0.000 0.500
Rb 0.000 0.500 0.000
Rb 0.500 0.500 0.000
Er 0.500 0.000 0.500
O 0.214 0.428 0.666
O 0.723 0.445 0.667
O 0.738 0.952 0.666
Rb 0.000 0.000 0.000
O 0.277 0.555 0.333
Er 0.500 0.500 0.500
O 0.786 0.048 0.334
O 0.262 0.048 0.334
O 0.214 0.952 0.666
O 0.786 0.572 0.334
Er 0.000 0.500 0.500

Values from the calculation:
VASP energy ... -97.39 eV per formula unit
SG ... R-3m (166)
Magnetization ... 0.000 μB per formula unit
Uncorrected formation energy ... -2.467 eV/atom

***

DFT (GGA-PBE) results for crystalline NdSmPt2 at its relaxed geometry.

abc: 5.078 5.078 5.078
angles: 60.00 60.00 60.00
Sites, in units of the cell vectors:
Nd 0.500 0.500 0.500
Pt 0.750 0.750 0.750
Sm 0.000 0.000 0.000
Pt 0.250 0.250 0.250

Values from the calculation:
Energy relative to the lowest polymorph listed for this composition ... 0.104 eV per atom
VASP energy ... -25.84 eV per formula unit
SG ... Fm-3m (225)
Magnetization ... 0.000 μB per formula unit

***

DFT (GGA-PBE) results for crystalline LaAuI at its relaxed geometry.

abc: 4.822 4.822 11.304
angles: 90.11 102.19 120.03
Sites, in units of the cell vectors:
Au 0.333 0.166 0.499
I 0.553 0.279 0.831
La 0.898 0.448 0.345
La 0.102 0.552 0.655
Au 0.667 0.834 0.501
I 0.447 0.721 0.169

Values from the calculation:
VASP energy ... -13.06 eV per formula unit
SG ... C2/m (12)
Magnetization ... 0.000 μB per formula unit
Uncorrected formation energy ... -1.102 eV/atom

***

DFT (GGA-PBE) results for crystalline B24Mo7 at its relaxed geometry.

abc: 5.230 5.230 12.317
angles: 90.00 90.00 120.00
Sites, in units of the cell vectors:
B 0.999 0.334 0.118
B 0.999 0.666 0.882
B 0.999 0.335 0.628
B 0.999 0.664 0.372
Mo 0.333 0.667 0.244
B 0.666 0.001 0.882
Mo 0.000 0.000 0.500
Mo 0.000 0.000 0.247
B 0.666 0.666 0.118
Mo 0.000 0.000 0.753
B 0.334 0.001 0.882
B 0.336 0.001 0.628
B 0.999 0.666 0.118
B 0.999 0.334 0.882
Mo 0.667 0.333 0.000
B 0.999 0.335 0.372
B 0.665 0.664 0.372
B 0.666 0.666 0.882
B 0.336 0.335 0.628
B 0.665 0.664 0.628
Mo 0.333 0.667 0.756
B 0.336 0.335 0.372
B 0.334 0.001 0.118
B 0.665 0.001 0.628
B 0.334 0.334 0.118
B 0.334 0.334 0.882
B 0.665 0.001 0.372
Mo 0.667 0.333 0.500
B 0.666 0.001 0.118
B 0.999 0.664 0.628
B 0.336 0.001 0.372

Values from the calculation:
VASP energy ... -240.54 eV per formula unit
SG ... P-6m2 (187)
Magnetization ... 0.000 μB per formula unit